[1]
{
  "formula": "NaLiTa3",
  "functional": "PBE",
  "state": "relaxed",
  "e_tot_ev_per_atom": -5.346,
  "polymorph_energy_kj_per_mol_fu": 418.1,
  "e_form_ev_per_fu": 12.06,
  "crystal_system": "cubic",
  "n_ef_per_ev_cell": 8.88,
  "space_group": "Pm-3m, No. 221",
  "cell": [[4.7368, 0.0000, 0.0000], [0.0000, 4.7368, 0.0000], [0.0000, 0.0000, 4.7368]],
  "species": ["Na", "Li", "Ta", "Ta", "Ta"],
  "frac_coords": [[0.0000, 0.0000, 0.0000], [0.5000, 0.5000, 0.5000], [0.0000, 0.5000, 0.0000], [0.0000, 0.0000, 0.5000], [0.5000, 0.0000, 0.0000]]
}

[2]
{
  "formula": "NaLiTa3",
  "functional": "PBE",
  "state": "relaxed",
  "e_tot_ev_per_atom": -6.212,
  "polymorph_energy_kj_per_mol_fu": 0.0,
  "e_form_ev_per_fu": 7.73,
  "crystal_system": "cubic",
  "n_ef_per_ev_cell": 8.07,
  "space_group": "Pm-3m, No. 221",
  "cell": [[-3.7407, -1.8082, -1.8470], [-0.5755, -2.5849, 3.6961], [-2.5199, 3.2746, 1.8977]],
  "species": ["Na", "Li", "Ta", "Ta", "Ta"],
  "frac_coords": [[0.5000, 0.5000, 0.5000], [0.0000, 0.0000, 0.0000], [0.0000, 0.5000, 0.0000], [0.0000, 0.0000, 0.5000], [0.5000, 0.0000, 0.0000]]
}

[3]
{
  "formula": "NaLiTa2V",
  "functional": "PBE",
  "state": "relaxed",
  "e_tot_ev_per_atom": -5.986,
  "e_form_ev_per_fu": 6.13,
  "crystal_system": "tetragonal",
  "n_ef_per_ev_cell": 4.00,
  "space_group": "P4/mmm, No. 123",
  "cell": [[4.6151, 0.0000, 0.0000], [0.0000, 5.6627, 0.0000], [0.0000, 0.0000, 4.6151]],
  "species": ["Na", "V", "Li", "Ta", "Ta"],
  "frac_coords": [[0.0000, 0.5000, 0.0000], [0.0000, 0.0000, 0.0000], [0.5000, 0.5000, 0.5000], [0.0000, 0.0000, 0.5000], [0.5000, 0.0000, 0.0000]]
}

[4]
{
  "formula": "NaLiTb",
  "functional": "PBE",
  "state": "relaxed",
  "e_tot_ev_per_atom": -2.465,
  "polymorph_energy_kj_per_mol_fu": 22.3,
  "e_form_ev_per_fu": 0.47,
  "crystal_system": "trigonal",
  "n_ef_per_ev_cell": 2.21,
  "space_group": "P3m1, No. 156",
  "cell": [[-2.2092, -2.6006, -0.2594], [2.2085, 0.6285, -2.5374], [5.8199, -5.3180, 3.7484]],
  "species": ["Na", "Tb", "Li"],
  "frac_coords": [[0.3333, 0.6667, 0.6571], [0.0000, 0.0000, 0.0176], [0.6667, 0.3333, 0.3252]]
}